No. 1
NbVCl: optimized geometry, PBE.

abc: 9.832 3.180 9.510
angles: 90.00 115.64 90.00
Space group C2/m (No. 12)
Asymmetric unit:
Nb 0.121 0.000 0.377 x4
V 0.112 0.500 0.601 x4
Cl 0.062 0.500 0.834 x4

Results
E_form (uncorrected)   -0.21 eV per atom
D(E_F)   8.38 states/eV/cell
ρ   4.4 g cm⁻³

---

No. 2
TbTmBeRu: optimized geometry, PBE.

abc: 6.795 6.795 6.795
angles: 90.00 90.00 90.00
Space group F-43m (No. 216)
Asymmetric unit:
Tb 0.000 0.000 0.000 x4
Tm 0.000 0.000 0.500 x4
Be 0.250 0.250 0.250 x4
Ru 0.250 0.250 0.750 x4

Results
D(E_F)   13.59 states/eV/cell
ρ   9.3 g cm⁻³
DFT formation energy   -163 meV/atom

---

No. 3
CaTb4In5: optimized geometry, PBE.

abc: 3.772 3.772 19.136
angles: 90.00 90.00 90.00
Space group P4/mmm (No. 123)
Asymmetric unit:
Ca 0.000 0.000 0.000 x1
Tb 0.000 0.000 0.202 x2
Tb 0.000 0.000 0.402 x2
In 0.500 0.500 0.104 x2
In 0.500 0.500 0.303 x2
In 0.500 0.500 0.500 x1

Results
D(E_F)   5.80 states/eV/cell
ρ   7.6 g cm⁻³
DFT formation energy   -471 meV/atom

---

No. 4
PaCdSbN: optimized geometry, PBE.

abc: 4.0745 4.0745 37.4086
angles: 90.00 90.00 120.00
Space group R-3m (No. 166, hexagonal axes)
Asymmetric unit:
Pa 0.0000 0.0000 0.1297 x6
Cd 0.0000 0.0000 0.3063 x6
Sb 0.0000 0.0000 0.4069 x6
N 0.0000 0.0000 0.1886 x6

Results
E_form (uncorrected)   -0.76 eV per atom
D(E_F)   8.96 states/eV/cell
ρ   8.9 g cm⁻³

---

No. 5
RbMoPt2Rh: optimized geometry, PBE.

abc: 4.820 4.820 5.484
angles: 90.00 90.00 90.00
Space group P4/mmm (No. 123)
Asymmetric unit:
Rb 0.000 0.000 0.000 x1
Mo 0.000 0.000 0.500 x1
Pt 0.000 0.500 0.500 x2
Rh 0.500 0.500 0.000 x1

Results
Excess energy over the best structure of this formula in the dataset   598.3 meV/atom
D(E_F)   6.21 states/eV/cell
ρ   8.8 g cm⁻³
DFT formation energy   1613 meV/atom

---

No. 6
Ca5Y4: optimized geometry, PBE.

abc: 10.3705 10.3705 7.0811
angles: 90.00 90.00 120.00
Space group P6_3/mcm (No. 193)
Asymmetric unit:
Ca 0.0000 0.3588 0.2500 x6
Ca 0.3333 0.6667 0.0000 x4
Y 0.0000 0.0000 0.0000 x2
Y 0.0000 0.2907 0.7500 x6

Results
Excess energy over the best structure of this formula in the dataset   71.3 meV/atom
D(E_F)   33.05 states/eV/cell
ρ   2.8 g cm⁻³
DFT formation energy   183 meV/atom

---

No. 7
CeAl3Ni2: optimized geometry, PBE.

abc: 9.0598 9.0598 4.1311
angles: 90.00 90.00 120.00
Space group P6/mmm (No. 191)
Asymmetric unit:
Ce 0.0000 0.0000 0.0000 x1
Ce 0.3333 0.6667 0.5000 x2
Al 0.0000 0.2959 0.5000 x6
Al 0.0000 0.5000 0.0000 x3
Ni 0.1821 0.3641 0.0000 x6

Results
Excess energy over the best structure of this formula in the dataset   11.5 meV/atom
D(E_F)   16.79 states/eV/cell
ρ   5.7 g cm⁻³
DFT formation energy   -597 meV/atom

---

No. 8
Th3As2P: optimized geometry, PBE.

abc: 4.213 5.958 12.664
angles: 90.00 90.00 90.00
Space group Immm (No. 71)
Asymmetric unit:
Th 0.000 0.000 0.000 x2
Th 0.000 0.000 0.340 x4
As 0.000 0.500 0.331 x4
P 0.000 0.500 0.000 x2

Results
D(E_F)   7.25 states/eV/cell
ρ   9.2 g cm⁻³
DFT formation energy   -1443 meV/atom

---

Which of these has the highest D(E_F)? Ca5Y4